No. 1
A plane-wave DFT calculation with GGA-PBE was carried out for PmTiCo2 after structural relaxation.

Calculated values
As for the density: 7.91 g/cm3. The formation enthalpy at 0 K comes out at -0.1345 eV per atom. Its symmetry is P4/mmm (123).

a b c (Å): 3.102 3.102 6.779
angles (deg): 90.00 90.00 90.00
Sites, in units of the cell vectors:
Pm1 0.000 0.000 0.000
Ti1 0.000 0.000 0.500
Co1 0.500 0.500 0.304
Co2 0.500 0.500 0.696

=====

No. 2
A plane-wave DFT calculation with GGA-PBE was carried out for TlNiAu2 after structural relaxation.

Calculated values
As for the density: 15.29 g/cm3. For the polymorph energy (0 for the lowest one), the calculation gives 0.073 eV/atom. The formation enthalpy at 0 K comes out at 0.1949 eV per atom. Its symmetry is I-4m2 (119).

a b c (Å): 4.211 4.211 8.047
angles (deg): 90.00 90.00 90.00
Sites, in units of the cell vectors:
Tl1 0.000 0.000 0.000
Tl2 0.500 0.500 0.500
Ni1 0.000 0.500 0.250
Ni2 0.500 0.000 0.750
Au1 0.000 0.000 0.500
Au2 0.000 0.500 0.750
Au3 0.500 0.000 0.250
Au4 0.500 0.500 0.000

=====

No. 3
A plane-wave DFT calculation with GGA-PBE was carried out for Ba3Sb2 after structural relaxation.

Calculated values
As for the density: 4.15 g/cm3. For the polymorph energy (0 for the lowest one), the calculation gives 0.041 eV/atom. Its raw formation energy is -94 kJ per mole of atoms. Its symmetry is R-3c (167).

a b c (Å): 9.255 9.255 9.255
angles (deg): 57.25 57.25 57.25
Sites, in units of the cell vectors:
Ba1 0.041 0.750 0.459
Ba2 0.250 0.541 0.959
Ba3 0.459 0.041 0.750
Ba4 0.541 0.959 0.250
Ba5 0.750 0.459 0.041
Ba6 0.959 0.250 0.541
Sb1 0.144 0.144 0.144
Sb2 0.356 0.356 0.356
Sb3 0.644 0.644 0.644
Sb4 0.856 0.856 0.856

=====

No. 4
A plane-wave DFT calculation with GGA-PBE was carried out for Cr2InP after structural relaxation.

Calculated values
As for the density: 6.12 g/cm3. For the polymorph energy (0 for the lowest one), the calculation gives 0.288 eV/atom. The formation enthalpy at 0 K comes out at 0.3138 eV per atom. Its symmetry is I-42d (122).

a b c (Å): 6.878 6.878 5.732
angles (deg): 90.00 90.00 90.00
Sites, in units of the cell vectors:
Cr1 0.188 0.250 0.125
Cr2 0.250 0.688 0.375
Cr3 0.250 0.812 0.875
Cr4 0.312 0.250 0.625
Cr5 0.688 0.750 0.625
Cr6 0.750 0.188 0.875
Cr7 0.750 0.312 0.375
Cr8 0.812 0.750 0.125
In1 0.000 0.000 0.500
In2 0.000 0.500 0.750
In3 0.500 0.000 0.250
In4 0.500 0.500 0.000
P1 0.000 0.000 0.000
P2 0.000 0.500 0.250
P3 0.500 0.000 0.750
P4 0.500 0.500 0.500

=====

No. 5
A plane-wave DFT calculation with GGA-PBE was carried out for ScSi7Rh3 after structural relaxation.

Calculated values
As for the density: 5.60 g/cm3. Its raw formation energy is -63 kJ per mole of atoms. Its symmetry is R-3c (167).

a b c (Å): 7.909 7.909 7.909
angles (deg): 57.11 57.11 57.11
Sites, in units of the cell vectors:
Sc1 0.000 0.000 0.000
Sc2 0.500 0.500 0.500
Si1 0.067 0.852 0.672
Si2 0.148 0.328 0.933
Si3 0.172 0.352 0.567
Si4 0.250 0.250 0.250
Si5 0.328 0.933 0.148
Si6 0.352 0.567 0.172
Si7 0.433 0.828 0.648
Si8 0.567 0.172 0.352
Si9 0.648 0.433 0.828
Si10 0.672 0.067 0.852
Si11 0.750 0.750 0.750
Si12 0.828 0.648 0.433
Si13 0.852 0.672 0.067
Si14 0.933 0.148 0.328
Rh1 0.072 0.750 0.428
Rh2 0.250 0.572 0.928
Rh3 0.428 0.072 0.750
Rh4 0.572 0.928 0.250
Rh5 0.750 0.428 0.072
Rh6 0.928 0.250 0.572

=====

No. 6
A plane-wave DFT calculation with GGA-PBE was carried out for MgTePb2 after structural relaxation.

Calculated values
As for the density: 8.02 g/cm3. For the polymorph energy (0 for the lowest one), the calculation gives 0.128 eV/atom. Its raw formation energy is -7 kJ per mole of atoms. Its symmetry is Cmmm (65).

a b c (Å): 7.140 8.224 3.992
angles (deg): 90.00 90.00 90.00
Sites, in units of the cell vectors:
Mg1 0.000 0.000 0.000
Mg2 0.500 0.500 0.000
Te1 0.000 0.500 0.000
Te2 0.500 0.000 0.000
Pb1 0.250 0.250 0.500
Pb2 0.250 0.750 0.500
Pb3 0.750 0.250 0.500
Pb4 0.750 0.750 0.500

=====

No. 7
A plane-wave DFT calculation with GGA-PBE was carried out for Cs2SrRuO6 after structural relaxation.

Calculated values
As for the density: 3.91 g/cm3. Its raw formation energy is -129 kJ per mole of atoms. Its symmetry is P-3m1 (164).

a b c (Å): 6.607 6.607 6.180
angles (deg): 90.00 90.00 120.00
Sites, in units of the cell vectors:
Cs1 0.333 0.667 0.367
Cs2 0.667 0.333 0.633
Sr1 0.000 0.000 0.000
Ru1 0.000 0.000 0.500
O1 0.133 0.267 0.682
O2 0.133 0.867 0.682
O3 0.267 0.133 0.318
O4 0.733 0.867 0.682
O5 0.867 0.133 0.318
O6 0.867 0.733 0.318

=====

No. 8
A plane-wave DFT calculation with GGA-PBE was carried out for AlAs2PBr after structural relaxation.

Calculated values
As for the density: 3.93 g/cm3. For the polymorph energy (0 for the lowest one), the calculation gives 0.000 eV/atom. Its raw formation energy is 60 kJ per mole of atoms. Its symmetry is P4/mmm (123).

a b c (Å): 4.785 4.785 5.315
angles (deg): 90.00 90.00 90.00
Sites, in units of the cell vectors:
Al1 0.000 0.000 0.000
As1 0.000 0.500 0.500
As2 0.500 0.000 0.500
P1 0.500 0.500 0.500
Br1 0.500 0.500 0.000

=====

No. 9
A plane-wave DFT calculation with GGA-PBE was carried out for GaSnHg2 after structural relaxation.

Calculated values
As for the density: 9.59 g/cm3. For the polymorph energy (0 for the lowest one), the calculation gives 0.022 eV/atom. The formation enthalpy at 0 K comes out at 0.0855 eV per atom. Its symmetry is I-42d (122).

a b c (Å): 4.326 4.326 21.826
angles (deg): 90.00 90.00 90.00
Sites, in units of the cell vectors:
Ga1 0.000 0.000 0.000
Ga2 0.000 0.500 0.250
Ga3 0.500 0.000 0.750
Ga4 0.500 0.500 0.500
Sn1 0.000 0.000 0.500
Sn2 0.000 0.500 0.750
Sn3 0.500 0.000 0.250
Sn4 0.500 0.500 0.000
Hg1 0.244 0.250 0.125
Hg2 0.250 0.744 0.375
Hg3 0.250 0.756 0.875
Hg4 0.256 0.250 0.625
Hg5 0.744 0.750 0.625
Hg6 0.750 0.244 0.875
Hg7 0.750 0.256 0.375
Hg8 0.756 0.750 0.125

=====

No. 10
A plane-wave DFT calculation with GGA-PBE was carried out for KU3Cu4S12 after structural relaxation.

Calculated values
As for the density: 4.40 g/cm3. Its raw formation energy is -73 kJ per mole of atoms. Its symmetry is R32 (155).

a b c (Å): 8.529 8.529 8.529
angles (deg): 106.35 106.35 106.35
Sites, in units of the cell vectors:
K1 0.000 0.000 0.000
U1 0.000 0.561 0.439
U2 0.439 0.000 0.561
U3 0.561 0.439 0.000
Cu1 0.064 0.500 0.936
Cu2 0.500 0.500 0.500
Cu3 0.500 0.936 0.064
Cu4 0.936 0.064 0.500
S1 0.036 0.634 0.751
S2 0.099 0.901 0.500
S3 0.249 0.366 0.964
S4 0.339 0.661 0.500
S5 0.366 0.964 0.249
S6 0.500 0.099 0.901
S7 0.500 0.339 0.661
S8 0.634 0.751 0.036
S9 0.661 0.500 0.339
S10 0.751 0.036 0.634
S11 0.901 0.500 0.099
S12 0.964 0.249 0.366

=====

No. 11
A plane-wave DFT calculation with GGA-PBE was carried out for MnFePtAu after structural relaxation.

Calculated values
As for the density: 13.54 g/cm3. The formation enthalpy at 0 K comes out at -0.0157 eV per atom. Its symmetry is F-43m (216).

a b c (Å): 6.271 6.271 6.271
angles (deg): 90.00 90.00 90.00
Sites, in units of the cell vectors:
Mn1 0.000 0.000 0.000
Mn2 0.000 0.500 0.500
Mn3 0.500 0.000 0.500
Mn4 0.500 0.500 0.000
Fe1 0.000 0.000 0.500
Fe2 0.000 0.500 0.000
Fe3 0.500 0.000 0.000
Fe4 0.500 0.500 0.500
Pt1 0.250 0.250 0.750
Pt2 0.250 0.750 0.250
Pt3 0.750 0.250 0.250
Pt4 0.750 0.750 0.750
Au1 0.250 0.250 0.250
Au2 0.250 0.750 0.750
Au3 0.750 0.250 0.750
Au4 0.750 0.750 0.250

=====

No. 12
A plane-wave DFT calculation with GGA-PBE was carried out for NbTl2PO6 after structural relaxation.

Calculated values
As for the density: 6.59 g/cm3. For the polymorph energy (0 for the lowest one), the calculation gives 0.494 eV/atom. Its raw formation energy is -146 kJ per mole of atoms. Its symmetry is I4/mmm (139).

a b c (Å): 6.929 6.929 6.929
angles (deg): 136.01 136.01 63.96
Sites, in units of the cell vectors:
Nb1 0.000 0.000 0.000
Tl1 0.250 0.750 0.500
Tl2 0.750 0.250 0.500
P1 0.500 0.500 0.000
O1 0.164 0.164 0.000
O2 0.282 0.282 0.563
O3 0.282 0.718 0.000
O4 0.718 0.282 0.000
O5 0.718 0.718 0.437
O6 0.836 0.836 0.000